DFT (GGA-PBE) results for an optimized crystal structure of K2RbScCl6.

Summary:
**ΔE_f (raw)**: -197.5 kJ/mol of atoms
**V**: 335 Å³/f.u.

Geometry as POSCAR:
```
K2RbScCl6
1.0
-1.1986 -0.8436 7.5189
-1.5244 -6.9315 2.8827
5.5397 -3.6307 4.3791
Cl Rb Sc K
6 1 1 2
direct
0.6534 0.1317 0.7949
0.2165 0.9999 0.2370
0.9998 0.5466 0.2369
0.1318 0.4200 0.7948
0.4200 0.6533 0.7948
0.5465 0.2166 0.2370
0.8141 0.8141 0.5577
0.3239 0.3239 0.0284
0.5327 0.5326 0.4019
0.0228 0.0228 0.9318
```